Material: BaZrCBr2
Method: DFT, PBE-GGA
State: relaxed

As for the size of the total moment: 0.211 μB per atom. As for the electronic total energy: -4.47 eV/atom. The value obtained for the relative energy among the computed polymorphs is 0.0 meV per atom.

The space group is P4/mmm (No. 123) and the conventional cell measures 6.1082, 6.1082 and 4.0311 Å, with angles of 90.00, 90.00 and 90.00 degrees. The distinct sites, in fractional coordinates, are Ba at (0.0000, 0.0000, 0.0000), Zr at (0.5000, 0.5000, 0.0000), C at (0.5000, 0.5000, 0.5000) and Br at (0.0000, 0.5000, 0.5000).

Material: Ba3Ca5Br12
Method: DFT, PBE-GGA
State: relaxed

As for the size of the total moment: 0.128 μB per atom. As for the electronic total energy: -3.49 eV/atom.

The space group is Ia-3d (No. 230) and the conventional cell measures 18.2640, 18.2640 and 18.2640 Å, with angles of 90.00, 90.00 and 90.00 degrees. The distinct sites, in fractional coordinates, are Ba at (0.0000, 0.2500, 0.1250), Ca at (0.0000, 0.0000, 0.0000), Ca at (0.0000, 0.2500, 0.3750) and Br at (0.0245, 0.0629, 0.6472).

Please write out number 1 again, unchanged.
Material: BaZrCBr2
Method: DFT, PBE-GGA
State: relaxed

As for the size of the total moment: 0.211 μB per atom. As for the electronic total energy: -4.47 eV/atom. The value obtained for the relative energy among the computed polymorphs is 0.0 meV per atom.

The space group is P4/mmm (No. 123) and the conventional cell measures 6.1082, 6.1082 and 4.0311 Å, with angles of 90.00, 90.00 and 90.00 degrees. The distinct sites, in fractional coordinates, are Ba at (0.0000, 0.0000, 0.0000), Zr at (0.5000, 0.5000, 0.0000), C at (0.5000, 0.5000, 0.5000) and Br at (0.0000, 0.5000, 0.5000).

- What is the size of the total moment in the second record?
  0.128 μB per atom

- The highest size of the total moment belongs to which entry?
  BaZrCBr2

- Among the records above, which one has the highest size of the total moment?
  BaZrCBr2